Record 1
The following is a DFT calculation (PBE) of a relaxed structure of Nb4C.

```
Nb4C
1.0
4.353 0.000 0.000
0.000 4.353 0.000
0.000 0.000 4.353
Nb C
4 1
direct
0.000 0.000 0.000
0.000 0.500 0.500
0.500 0.000 0.500
0.500 0.500 0.000
0.500 0.500 0.500
```

Calculated values
- E_form: -7 kJ/mol of atoms
- Symmetry: Pm-3m


Record 2
The following is a DFT calculation (PBE) of a relaxed structure of Tb6Dy3Cd.

```
Tb6Dy3Cd
1.0
4.844 -10.129 0.000
4.844 10.129 0.000
0.000 0.000 6.285
Tb Dy Cd
12 6 2
direct
0.019 0.981 0.500
0.103 0.536 0.017
0.260 0.373 0.233
0.286 0.714 0.465
0.373 0.260 0.733
0.464 0.897 0.017
0.536 0.103 0.517
0.627 0.740 0.233
0.714 0.286 0.965
0.740 0.627 0.733
0.897 0.464 0.517
0.981 0.019 0.000
0.043 0.296 0.664
0.296 0.043 0.164
0.414 0.586 0.759
0.586 0.414 0.259
0.704 0.957 0.664
0.957 0.704 0.164
0.153 0.847 0.730
0.847 0.153 0.230
```

Calculated values
- E above lowest polymorph: 0.068 eV/atom
- E_form: 5 kJ/mol of atoms
- Symmetry: Cmc2_1


Record 3
The following is a DFT calculation (PBE) of a relaxed structure of P2RuSe.

```
P2RuSe
1.0
4.135 0.000 0.000
0.000 2.368 3.300
0.000 -2.368 3.300
P Ru Se
2 1 1
direct
0.000 0.000 0.000
0.500 0.196 0.196
0.000 0.388 0.388
0.500 0.611 0.611
```

Calculated values
- Symmetry: Amm2


Record 4
The following is a DFT calculation (PBE) of a relaxed structure of Ca3Ac8La.

```
Ca3Ac8La
1.0
-4.803 4.803 6.597
4.803 -4.803 6.597
4.803 4.803 -6.597
Ca Ac La
3 8 1
direct
0.000 0.000 0.000
0.250 0.750 0.500
0.750 0.250 0.500
0.142 0.403 0.000
0.230 0.230 0.535
0.304 0.770 0.000
0.403 0.142 0.000
0.597 0.597 0.739
0.696 0.696 0.465
0.770 0.304 0.000
0.858 0.858 0.261
0.500 0.500 0.000
```

Calculated values
- E_form: 49 kJ/mol of atoms
- Symmetry: I-42m


Record 5
The following is a DFT calculation (PBE) of a relaxed structure of Er8ZnPd2.

```
Er8ZnPd2
1.0
4.211 -6.685 0.000
4.211 6.685 0.000
-1.638 0.000 5.272
Er Zn Pd
8 1 2
direct
0.000 0.000 0.000
0.049 0.297 0.599
0.159 0.613 0.189
0.297 0.049 0.599
0.468 0.718 0.792
0.613 0.159 0.189
0.718 0.468 0.792
0.757 0.757 0.378
0.383 0.383 0.104
0.078 0.683 0.686
0.683 0.078 0.686
```

Calculated values
- E above lowest polymorph: 0.126 eV/atom
- E_form: -26 kJ/mol of atoms
- Symmetry: Cm


Record 6
The following is a DFT calculation (PBE) of a relaxed structure of Be2CoSi.

```
Be2CoSi
1.0
-3.149 3.149 2.217
3.149 -3.149 2.217
3.149 3.149 -2.217
Be Co Si
4 2 2
direct
0.102 0.625 0.977
0.375 0.352 0.477
0.648 0.125 0.023
0.875 0.898 0.523
0.000 0.000 0.000
0.750 0.250 0.500
0.250 0.750 0.500
0.500 0.500 0.000
```

Calculated values
- Symmetry: I-42d


Quick rundown of raw total energy, same order as above: -9.97 -4.20 -5.91 -3.14 -4.64 -4.62 eV per atom
Quick rundown of theoretical density, same order as above: 7724 8365 6217 5661 9042 3968 kg/m3